1.
A geometry-optimized CoSi2Os structure, computed with GGA-PBE.

Results
- Fermi-level density of states: 3.169 states/eV/f.u.
- Space group: R-3m
- Formation energy without anion corrections: -214 meV/atom

Structure (CIF):
```
data_CoSi2Os
_chemical_formula_sum 'Co1 Si2 Os1'
_symmetry_space_group_name_H-M 'P 1'
_symmetry_Int_Tables_number 1
_symmetry_space_group_name_Hall 'P 1'
_cell_length_a 7.599
_cell_length_b 7.599
_cell_length_c 7.599
_cell_angle_alpha 21.16
_cell_angle_beta 21.16
_cell_angle_gamma 21.16
loop_
_atom_site_label
_atom_site_fract_x
_atom_site_fract_y
_atom_site_fract_z
Co1 0.000 0.000 0.000
Si1 0.255 0.255 0.255
Si2 0.745 0.745 0.745
Os1 0.500 0.500 0.500
```

***

2.
A geometry-optimized NdHgSe structure, computed with GGA-PBE.

Results
- Fermi-level density of states: 2.465 states/eV/f.u.
- Space group: R-3m
- Formation energy without anion corrections: -1026 meV/atom

Structure (CIF):
```
data_NdHgSe
_chemical_formula_sum 'Nd2 Hg2 Se2'
_symmetry_space_group_name_H-M 'P 1'
_symmetry_Int_Tables_number 1
_symmetry_space_group_name_Hall 'P 1'
_cell_length_a 9.586
_cell_length_b 9.586
_cell_length_c 9.586
_cell_angle_alpha 29.42
_cell_angle_beta 29.42
_cell_angle_gamma 29.42
loop_
_atom_site_label
_atom_site_fract_x
_atom_site_fract_y
_atom_site_fract_z
Nd1 0.233 0.233 0.233
Nd2 0.767 0.767 0.767
Hg1 0.359 0.359 0.359
Hg2 0.641 0.641 0.641
Se1 0.124 0.124 0.124
Se2 0.876 0.876 0.876
```

***

formation energy without anion corrections of number 1 (CoSi2Os)? -214 meV/atom

***

What did the second record say?
A geometry-optimized NdHgSe structure, computed with GGA-PBE.

Results
- Fermi-level density of states: 2.465 states/eV/f.u.
- Space group: R-3m
- Formation energy without anion corrections: -1026 meV/atom

Structure (CIF):
```
data_NdHgSe
_chemical_formula_sum 'Nd2 Hg2 Se2'
_symmetry_space_group_name_H-M 'P 1'
_symmetry_Int_Tables_number 1
_symmetry_space_group_name_Hall 'P 1'
_cell_length_a 9.586
_cell_length_b 9.586
_cell_length_c 9.586
_cell_angle_alpha 29.42
_cell_angle_beta 29.42
_cell_angle_gamma 29.42
loop_
_atom_site_label
_atom_site_fract_x
_atom_site_fract_y
_atom_site_fract_z
Nd1 0.233 0.233 0.233
Nd2 0.767 0.767 0.767
Hg1 0.359 0.359 0.359
Hg2 0.641 0.641 0.641
Se1 0.124 0.124 0.124
Se2 0.876 0.876 0.876
```

***

Which formula does entry 2 have? NdHgSe

***

Please write out number 1 again, unchanged.
A geometry-optimized CoSi2Os structure, computed with GGA-PBE.

Results
- Fermi-level density of states: 3.169 states/eV/f.u.
- Space group: R-3m
- Formation energy without anion corrections: -214 meV/atom

Structure (CIF):
```
data_CoSi2Os
_chemical_formula_sum 'Co1 Si2 Os1'
_symmetry_space_group_name_H-M 'P 1'
_symmetry_Int_Tables_number 1
_symmetry_space_group_name_Hall 'P 1'
_cell_length_a 7.599
_cell_length_b 7.599
_cell_length_c 7.599
_cell_angle_alpha 21.16
_cell_angle_beta 21.16
_cell_angle_gamma 21.16
loop_
_atom_site_label
_atom_site_fract_x
_atom_site_fract_y
_atom_site_fract_z
Co1 0.000 0.000 0.000
Si1 0.255 0.255 0.255
Si2 0.745 0.745 0.745
Os1 0.500 0.500 0.500
```